The following is a PBE+U calculation of NpFeH2O6 after structural relaxation, from the Alexandria database.

Geometry as CIF:
```
data_NpFeH2O6
_space_group_name_H-M_alt 'P 1'
_space_group_IT_number 1
_cell_length_a 5.129
_cell_length_b 5.551
_cell_length_c 5.613
_cell_angle_alpha 62.38
_cell_angle_beta 61.93
_cell_angle_gamma 56.78
loop_
_space_group_symop_operation_xyz
'x,y,z'
loop_
_atom_site_label
_atom_site_type_symbol
_atom_site_fract_x
_atom_site_fract_y
_atom_site_fract_z
O1 O 0.067 0.466 0.796
O2 O 0.191 0.899 0.320
O3 O 0.565 0.166 0.307
O4 O 0.682 0.082 0.819
O5 O 0.950 0.550 0.284
O6 O 0.442 0.733 0.783
Fe1 Fe 0.816 0.816 0.552
Np1 Np 0.316 0.316 0.052
H1 H 0.388 0.713 0.344
H2 H 0.244 0.919 0.759
```

Calculated values
Crystal system: triclinic
Total DFT energy (no corrections), Ry/atom: -0.5270